Entry from Alexandria: a relaxed structure of InCoTe2 (PBEsol).

DOS(E_F): 6.47 states/eV/f.u.
electronic total energy: -15.65 eV for the cell shown
E_form (uncorrected): 0.530 eV/atom
volume: 95.3 Å³/f.u.
crystal system: orthorhombic

Cell and atoms, written as CIF:
```
data_InCoTe2
_chemical_formula_sum 'In1 Co1 Te2'
_space_group_name_H-M_alt 'P m m m'
_space_group_IT_number 47
_cell_length_a 3.890
_cell_length_b 4.127
_cell_length_c 5.939
_cell_angle_alpha 90.00
_cell_angle_beta 90.00
_cell_angle_gamma 90.00
loop_
_space_group_symop_operation_xyz
'x,y,z'
'-x,-y,-z'
'-x,-y,z'
'x,y,-z'
'x,-y,-z'
'-x,y,z'
'-x,y,-z'
'x,-y,z'
loop_
_atom_site_label
_atom_site_fract_x
_atom_site_fract_y
_atom_site_fract_z
In1 0.000 0.000 0.000
Co1 0.000 0.500 0.500
Te1 0.500 0.000 0.500
Te2 0.500 0.500 0.000
```